The following is a PBE calculation of crystalline Cr2SiBr at its relaxed geometry, from Alexandria via LeMat-Bulk.

abc: 3.1504 3.1504 23.4390
angles: 90.00 90.00 120.00
Space group R3m (No. 160, hexagonal axes)
Symmetry-distinct sites (fractional):
Cr 0.0000 0.0000 0.0000 x3
Cr 0.0000 0.0000 0.2596 x3
Si 0.0000 0.0000 0.7342 x3
Br 0.0000 0.0000 0.5142 x3

Values from the calculation:
**Formation energy without anion corrections**: 0.421 eV per atom
**Total magnetization**: 3.4 μB/cell
**D(E_F)**: 0.579 states/eV per atom
**Uncorrected energy**: -6.164 eV per atom
**Offset from the most stable computed form**: 274.4 meV per atom

---

The following is a PBE calculation of crystalline TbPm5Hg4 at its relaxed geometry, from Alexandria via LeMat-Bulk.

abc: 3.7723 3.7723 20.3117
angles: 90.00 90.00 90.00
Space group P4/mmm (No. 123)
Symmetry-distinct sites (fractional):
Tb 0.0000 0.0000 0.0000 x1
Pm 0.5000 0.5000 0.1197 x2
Pm 0.5000 0.5000 0.3105 x2
Pm 0.5000 0.5000 0.5000 x1
Hg 0.0000 0.0000 0.2124 x2
Hg 0.0000 0.0000 0.4047 x2

Values from the calculation:
**Total magnetization**: 1.3 μB/cell
**D(E_F)**: 1.170 states/eV per atom
**Energy relative to the elements**: -0.367 eV/atom
**Uncorrected energy**: -3.326 eV per atom

---

The following is a PBE calculation of crystalline Y3Cd2Ag at its relaxed geometry, from Alexandria via LeMat-Bulk.

abc: 3.7139 3.7139 11.1551
angles: 90.00 90.00 90.00
Space group P4/mmm (No. 123)
Symmetry-distinct sites (fractional):
Y 0.0000 0.0000 0.0000 x1
Y 0.0000 0.0000 0.3399 x2
Cd 0.5000 0.5000 0.1672 x2
Ag 0.5000 0.5000 0.5000 x1

Values from the calculation:
**Total magnetization**: 0.0 μB/cell
**D(E_F)**: 0.945 states/eV per atom
**Energy relative to the elements**: -0.343 eV/atom
**Uncorrected energy**: -4.355 eV per atom

---

The following is a PBE calculation of crystalline NaSrReN3 at its relaxed geometry, from Alexandria via LeMat-Bulk.

abc: 6.0227 11.0259 5.3404
angles: 90.00 103.48 90.00
Space group C2/c (No. 15)
Symmetry-distinct sites (fractional):
Na 0.0000 0.0729 0.2500 x4
Sr 0.0000 0.2370 0.7500 x4
Re 0.0000 0.4557 0.2500 x4
N 0.0000 0.2880 0.2500 x4
N 0.2192 0.4472 0.9851 x8

Values from the calculation:
**Formation energy without anion corrections**: -0.421 eV per atom
**Total magnetization**: 0.0 μB/cell
**D(E_F)**: 0.221 states/eV per atom
**Uncorrected energy**: -7.158 eV per atom

---

The following is a PBE calculation of crystalline Ba2HfMgSe5 at its relaxed geometry, from Alexandria via LeMat-Bulk.

abc: 4.2079 18.7316 13.4695
angles: 90.00 90.00 90.00
Space group Cmc2_1 (No. 36)
Symmetry-distinct sites (fractional):
Ba 0.0000 0.1080 0.0000 x4
Ba 0.0000 0.1285 0.6252 x4
Hf 0.0000 0.2125 0.3366 x4
Mg 0.0000 0.4393 0.7654 x4
Se 0.0000 0.0679 0.3728 x4
Se 0.0000 0.2820 0.9682 x4
Se 0.0000 0.3030 0.7009 x4
Se 0.0000 0.3510 0.3183 x4
Se 0.0000 0.4997 0.0995 x4

Values from the calculation:
**Formation energy without anion corrections**: -1.619 eV per atom
**Total magnetization**: 0.0 μB/cell
**Uncorrected energy**: -5.265 eV per atom

---

The following is a PBE calculation of crystalline AcAgBPd6 at its relaxed geometry, from Alexandria via LeMat-Bulk.

abc: 5.8866 9.3504 11.7533
angles: 90.00 90.00 90.00
Space group Imma (No. 74)
Symmetry-distinct sites (fractional):
Ac 0.0000 0.2500 0.1778 x4
Ag 0.2500 0.2500 0.7500 x4
B 0.0000 0.0000 0.5000 x4
Pd 0.0000 0.2500 0.4641 x4
Pd 0.0000 0.2500 0.9455 x4
Pd 0.2472 0.0095 0.6223 x16

Values from the calculation:
**Total magnetization**: 0.0 μB/cell
**D(E_F)**: 0.301 states/eV per atom
**Energy relative to the elements**: -0.207 eV/atom
**Uncorrected energy**: -5.184 eV per atom

---

The following is a PBE calculation of crystalline PaZnMo2 at its relaxed geometry, from Alexandria via LeMat-Bulk.

abc: 6.5213 6.5213 6.5213
angles: 90.00 90.00 90.00
Space group Fm-3m (No. 225)
Symmetry-distinct sites (fractional):
Pa 0.0000 0.0000 0.0000 x4
Zn 0.0000 0.0000 0.5000 x4
Mo 0.2500 0.2500 0.2500 x8

Values from the calculation:
**Total magnetization**: 0.0 μB/cell
**D(E_F)**: 0.730 states/eV per atom
**Energy relative to the elements**: 0.150 eV/atom
**Uncorrected energy**: -7.958 eV per atom
**Offset from the most stable computed form**: 41.8 meV per atom

---

The following is a PBE calculation of crystalline Ac2LaSm4Ho at its relaxed geometry, from Alexandria via LeMat-Bulk.

abc: 14.0893 13.7736 7.1329
angles: 90.00 120.33 90.00
Space group C2/c (No. 15)
Symmetry-distinct sites (fractional):
Ac 0.0000 0.0000 0.0000 x4
Ac 0.2500 0.2500 0.0000 x4
La 0.0000 0.5000 0.0000 x4
Sm 0.9997 0.2610 0.0157 x8
Sm 0.2366 0.4896 0.4859 x8
Ho 0.2500 0.2500 0.5000 x4

Values from the calculation:
**Total magnetization**: 0.1 μB/cell
**D(E_F)**: 2.318 states/eV per atom
**Energy relative to the elements**: 0.390 eV/atom
**Uncorrected energy**: -4.185 eV per atom

---

The following is a PBE calculation of crystalline TmB6W2 at its relaxed geometry, from Alexandria via LeMat-Bulk.

abc: 5.3456 5.3456 3.4611
angles: 90.00 90.00 120.00
Space group P6/mmm (No. 191)
Symmetry-distinct sites (fractional):
Tm 0.0000 0.0000 0.0000 x1
B 0.0000 0.3385 0.5000 x6
W 0.3333 0.6667 0.0000 x2

Values from the calculation:
**Total magnetization**: 0.0 μB/cell
**D(E_F)**: 0.346 states/eV per atom
**Energy relative to the elements**: -0.364 eV/atom
**Uncorrected energy**: -8.191 eV per atom

---

The following is a PBE calculation of crystalline CsBAs3 at its relaxed geometry, from Alexandria via LeMat-Bulk.

abc: 4.7989 4.7989 4.7989
angles: 90.00 90.00 90.00
Space group Pm-3m (No. 221)
Symmetry-distinct sites (fractional):
Cs 0.0000 0.0000 0.0000 x1
B 0.5000 0.5000 0.5000 x1
As 0.0000 0.5000 0.5000 x3

Values from the calculation:
**Total magnetization**: 0.0 μB/cell
**D(E_F)**: 0.551 states/eV per atom
**Energy relative to the elements**: 0.727 eV/atom
**Uncorrected energy**: -3.569 eV per atom

---

The following is a PBE calculation of crystalline Ho2Ga4Cu3Rh at its relaxed geometry, from Alexandria via LeMat-Bulk.

abc: 4.0194 4.0194 10.6562
angles: 90.00 90.00 90.00
Space group P-4m2 (No. 115)
Symmetry-distinct sites (fractional):
Ho 0.0000 0.5000 0.2463 x2
Ga 0.0000 0.0000 0.0000 x1
Ga 0.0000 0.5000 0.6375 x2
Ga 0.5000 0.5000 0.0000 x1
Cu 0.0000 0.5000 0.8622 x2
Cu 0.5000 0.5000 0.5000 x1
Rh 0.0000 0.0000 0.5000 x1

Values from the calculation:
**Total magnetization**: 0.0 μB/cell
**D(E_F)**: 0.473 states/eV per atom
**Energy relative to the elements**: -0.514 eV/atom
**Uncorrected energy**: -4.604 eV per atom

---

The following is a PBE calculation of crystalline Ti2NbCu at its relaxed geometry, from Alexandria via LeMat-Bulk.

abc: 5.3434 2.6845 9.4380
angles: 90.00 103.33 90.00
Space group Cm (No. 8)
Symmetry-distinct sites (fractional):
Ti 0.0000 0.0000 0.0000 x2
Ti 0.2094 0.0000 0.5298 x2
Nb 0.3736 0.0000 0.2645 x2
Cu 0.1046 0.5000 0.7653 x2

Values from the calculation:
**Total magnetization**: 0.0 μB/cell
**D(E_F)**: 1.335 states/eV per atom
**Energy relative to the elements**: 0.109 eV/atom
**Uncorrected energy**: -7.380 eV per atom
**Offset from the most stable computed form**: 148.3 meV per atom

---

The following is a PBE calculation of crystalline Sb2RuAu at its relaxed geometry, from Alexandria via LeMat-Bulk.

abc: 4.4636 3.4563 10.4638
angles: 90.00 90.00 90.00
Space group Amm2 (No. 38)
Symmetry-distinct sites (fractional):
Sb 0.0000 0.0000 0.0000 x2
Sb 0.5000 0.0000 0.2833 x2
Ru 0.0000 0.0000 0.7270 x2
Au 0.5000 0.0000 0.5477 x2

Values from the calculation:
**Formation energy without anion corrections**: 0.093 eV per atom
**Total magnetization**: 0.0 μB/cell
**D(E_F)**: 0.714 states/eV per atom
**Uncorrected energy**: -5.106 eV per atom
**Offset from the most stable computed form**: 36.6 meV per atom

---

The following is a PBE calculation of crystalline Cs3Tm3MnTe8 at its relaxed geometry, from Alexandria via LeMat-Bulk.

abc: 15.0925 8.7046 10.4425
angles: 90.00 118.85 90.00
Space group C2/m (No. 12)
Symmetry-distinct sites (fractional):
Cs 0.0000 0.0000 0.0000 x2
Cs 0.2500 0.2500 0.0000 x4
Tm 0.0000 0.5000 0.5000 x2
Tm 0.2500 0.2500 0.5000 x4
Mn 0.0000 0.0000 0.5000 x2
Te 0.0187 0.2318 0.3243 x8
Te 0.2131 0.0000 0.6757 x4
Te 0.2299 0.5000 0.6895 x4

Values from the calculation:
**Formation energy without anion corrections**: -1.071 eV per atom
**Total magnetization**: 6.2 μB/cell
**D(E_F)**: 0.202 states/eV per atom
**Uncorrected energy**: -4.423 eV per atom

---

The following is a PBE calculation of crystalline Y2FeRuC at its relaxed geometry, from Alexandria via LeMat-Bulk.

abc: 4.9159 4.9159 3.6047
angles: 90.00 90.00 90.00
Space group P4/mmm (No. 123)
Symmetry-distinct sites (fractional):
Y 0.0000 0.5000 0.0000 x2
Fe 0.0000 0.0000 0.5000 x1
Ru 0.5000 0.5000 0.5000 x1
C 0.0000 0.0000 0.0000 x1

Values from the calculation:
**Total magnetization**: 0.0 μB/cell
**D(E_F)**: 0.671 states/eV per atom
**Energy relative to the elements**: -0.153 eV/atom
**Uncorrected energy**: -8.131 eV per atom

---

The following is a PBE calculation of crystalline KRbPS2 at its relaxed geometry, from Alexandria via LeMat-Bulk.

abc: 7.5618 5.1109 9.1992
angles: 90.00 103.42 90.00
Space group P2/c (No. 13)
Symmetry-distinct sites (fractional):
K 0.0000 0.0326 0.2500 x2
Rb 0.5000 0.2775 0.7500 x2
P 0.0000 0.5000 0.0000 x2
S 0.2472 0.2594 0.0313 x4

Values from the calculation:
**Formation energy without anion corrections**: -0.379 eV per atom
**Total magnetization**: 4.7 μB/cell
**D(E_F)**: 0.734 states/eV per atom
**Uncorrected energy**: -3.525 eV per atom
**Offset from the most stable computed form**: 0.0 meV per atom

---

The following is a PBE calculation of crystalline Er3ThBi4 at its relaxed geometry, from Alexandria via LeMat-Bulk.

abc: 8.9637 12.6845 4.4955
angles: 90.00 90.00 90.00
Space group Cmmm (No. 65)
Symmetry-distinct sites (fractional):
Er 0.0000 0.0000 0.0000 x2
Er 0.2500 0.2500 0.5000 x4
Th 0.0000 0.5000 0.0000 x2
Bi 0.0000 0.2464 0.0000 x4
Bi 0.2421 0.0000 0.5000 x4

Values from the calculation:
**Total magnetization**: 0.0 μB/cell
**D(E_F)**: 0.219 states/eV per atom
**Energy relative to the elements**: -0.755 eV/atom
**Uncorrected energy**: -5.334 eV per atom

---

The following is a PBE calculation of crystalline Rb2VAuS4 at its relaxed geometry, from Alexandria via LeMat-Bulk.

abc: 5.6968 13.7241 23.7786
angles: 90.00 90.00 90.00
Space group Fddd (No. 70, origin choice 2)
Symmetry-distinct sites (fractional):
Rb 0.1250 0.1250 0.3027 x16
V 0.1250 0.1250 0.6250 x8
Au 0.1250 0.1250 0.1250 x8
S 0.0832 0.2790 0.8203 x32

Values from the calculation:
**Formation energy without anion corrections**: -0.913 eV per atom
**Total magnetization**: 0.0 μB/cell
**Uncorrected energy**: -4.768 eV per atom

---

The following is a PBE calculation of crystalline Rb3ErPu2S6 at its relaxed geometry, from Alexandria via LeMat-Bulk.

abc: 7.1237 12.3391 8.0208
angles: 90.00 107.22 90.00
Space group C2/m (No. 12)
Symmetry-distinct sites (fractional):
Rb 0.0000 0.0000 0.0000 x2
Rb 0.0000 0.3331 0.0000 x4
Er 0.0000 0.5000 0.5000 x2
Pu 0.0000 0.1667 0.5000 x4
S 0.2283 0.3352 0.6906 x8
S 0.2339 0.0000 0.6906 x4

Values from the calculation:
**Formation energy without anion corrections**: -1.646 eV per atom
**Total magnetization**: 20.0 μB/cell
**D(E_F)**: 1.611 states/eV per atom
**Uncorrected energy**: -6.720 eV per atom

---

The following is a PBE calculation of crystalline Cd2InGa2 at its relaxed geometry, from Alexandria via LeMat-Bulk.

abc: 3.0614 3.1550 24.1838
angles: 90.00 90.00 90.00
Space group Imm2 (No. 44)
Symmetry-distinct sites (fractional):
Cd 0.0000 0.0000 0.0000 x2
Cd 0.0000 0.0000 0.4064 x2
In 0.0000 0.0000 0.1220 x2
Ga 0.0000 0.0000 0.2383 x2
Ga 0.0000 0.0000 0.8173 x2

Values from the calculation:
**Total magnetization**: 0.0 μB/cell
**D(E_F)**: 0.293 states/eV per atom
**Energy relative to the elements**: 0.066 eV/atom
**Uncorrected energy**: -2.058 eV per atom
**Offset from the most stable computed form**: 0.0 meV per atom